Entry from Alexandria via LeMat-Bulk: crystalline LaCdPt at its relaxed geometry (PBEsol).

**E_form**: -0.689 eV per atom

extended XYZ file:
```
3
Lattice="-1.150 -3.056 -3.510 2.563 -0.073 -4.051 2.856 -3.728 -0.963" Properties=species:S:1:pos:R:3 pbc="T T T"
Cd 0.000 0.000 0.000
Pt 1.067 -1.714 -2.131
La 2.134 -3.429 -4.262
```